Record 1
First-principles (GGA-PBE) data for a relaxed BaCaIr2 crystal, as listed in Alexandria via LeMat-Bulk.

Lattice parameters (Å, degrees): 5.6425 5.6425 7.1188 57.94 57.94 46.83
With the nearest neighbours (Å) after each atom.
Fractional coordinates of all 4 atoms:
Ca 0.2500 0.2500 0.2500  2 Ir 2.84
Ir 0.0018 0.0018 0.1890  2 Ir 2.40
Ir 0.4982 0.4982 0.3110  2 Ir 2.40
Ba 0.7500 0.7500 0.7500  6 Ir 3.27-3.48

Output
**Formation enthalpy at 0 K**: -0.111 eV/atom
**DFT total energy**: -22.09 eV/f.u.

---

Record 2
First-principles (GGA-PBE) data for a relaxed MnPdPb2W crystal, as listed in Alexandria via LeMat-Bulk.

Lattice parameters (Å, degrees): 5.3297 4.9071 5.3297 90.00 90.00 90.00
With the nearest neighbours (Å) after each atom.
Fractional coordinates of all 5 atoms:
Pb 0.0000 0.0000 0.5000  2 W 2.66
Pb 0.5000 0.0000 0.0000  2 W 2.66
Mn 0.5000 0.5000 0.5000  8 Pb 3.62, 4 Pd 3.77
Pd 0.0000 0.5000 0.0000  2 W 2.45
W 0.0000 0.0000 0.0000  2 Pd 2.45, 4 Pb 2.66

Output
**Formation enthalpy at 0 K**: 1.230 eV/atom
**DFT total energy**: -28.58 eV/f.u.

---

Record 3
First-principles (GGA-PBE) data for a relaxed DyTm3Hg crystal, as listed in Alexandria via LeMat-Bulk.

Lattice parameters (Å, degrees): 6.5882 6.5882 8.6337 87.79 119.83 113.49
With the nearest neighbours (Å) after each atom.
Fractional coordinates of all 10 atoms:
Dy 0.6786 0.0602 0.7388  2 Hg 3.30-3.31, 8 Tm 3.41-3.61, 1 Dy 3.50
Dy 0.3214 0.9398 0.2612  2 Hg 3.30-3.31, 8 Tm 3.41-3.61, 1 Dy 3.50
Tm 0.7289 0.9090 0.1386  2 Hg 3.21, 5 Tm 3.41-3.43, 3 Dy 3.41-3.45
Tm 0.2296 0.4097 0.1386  2 Hg 3.21, 5 Tm 3.41-3.43, 3 Dy 3.41-3.45
Tm 0.7704 0.5903 0.8614  2 Hg 3.21, 5 Tm 3.41-3.43, 3 Dy 3.41-3.45
Tm 0.8195 0.4390 0.2585  2 Hg 3.23-3.25, 7 Tm 3.41-3.54, 2 Dy 3.61
Tm 0.2711 0.0910 0.8614  2 Hg 3.21, 5 Tm 3.41-3.43, 3 Dy 3.41-3.45
Tm 0.1805 0.5610 0.7415  2 Hg 3.23-3.25, 7 Tm 3.41-3.54, 2 Dy 3.61
Hg 0.7544 0.7460 0.5004  6 Tm 3.21-3.25, 2 Dy 3.30-3.31
Hg 0.2456 0.2540 0.4996  6 Tm 3.21-3.25, 2 Dy 3.30-3.31

Output
**Formation enthalpy at 0 K**: -0.118 eV/atom
**DFT total energy**: -18.91 eV/f.u.

---

Record 4
First-principles (GGA-PBE) data for a relaxed ErTm3Zr crystal, as listed in Alexandria via LeMat-Bulk.

Lattice parameters (Å, degrees): 3.4160 9.0846 9.7139 105.61 90.05 100.85
With the nearest neighbours (Å) after each atom.
Fractional coordinates of all 10 atoms:
Er 0.4182 0.8705 0.1518  7 Tm 3.32-3.55, 3 Er 3.42-3.55, 2 Zr 3.44-3.45
Er 0.6259 0.2836 0.2698  7 Tm 3.32-3.55, 3 Er 3.42-3.55, 2 Zr 3.44-3.45
Tm 0.0239 0.0817 0.4617  4 Er 3.39-3.53, 7 Tm 3.41-3.56, 1 Zr 3.46
Tm 0.4159 0.8642 0.6647  3 Zr 3.25-3.30, 8 Tm 3.38-3.56
Tm 0.6281 0.2898 0.7569  3 Zr 3.25-3.30, 8 Tm 3.38-3.56
Tm 0.0202 0.0724 0.9598  4 Er 3.39-3.53, 7 Tm 3.41-3.56, 1 Zr 3.46
Tm 0.2254 0.4839 0.0531  3 Er 3.32-3.55, 2 Zr 3.37, 7 Tm 3.38-3.53
Tm 0.8186 0.6703 0.3685  3 Er 3.32-3.55, 2 Zr 3.37, 7 Tm 3.38-3.53
Zr 0.2264 0.4852 0.5719  4 Zr 3.23-3.42, 6 Tm 3.25-3.46, 2 Er 3.44-3.45
Zr 0.8175 0.6688 0.8496  4 Zr 3.23-3.42, 6 Tm 3.25-3.46, 2 Er 3.44-3.45

Output
**Formation enthalpy at 0 K**: 0.056 eV/atom
**DFT total energy**: -26.25 eV/f.u.

---

Record 5
First-principles (GGA-PBE) data for a relaxed Dy2NpAg2S6 crystal, as listed in Alexandria via LeMat-Bulk.

Lattice parameters (Å, degrees): 7.0006 7.0006 6.5159 94.57 94.57 120.53
With the nearest neighbours (Å) after each atom.
Fractional coordinates of all 11 atoms:
Dy 0.3347 0.6653 0.5000  6 S 2.74-2.76
Dy 0.6653 0.3347 0.5000  6 S 2.74-2.76
Np 0.0000 0.0000 0.5000  6 S 2.68-2.72
Ag 0.8767 0.1233 0.0000  2 S 2.49
Ag 0.1233 0.8767 0.0000  2 S 2.49
S 0.7090 0.7090 0.7251  1 Np 2.68, 2 Dy 2.76, 2 Ag 2.89
S 0.0313 0.3636 0.7223  1 Ag 2.49, 1 Np 2.72, 2 Dy 2.74-2.75
S 0.2910 0.2910 0.2749  1 Np 2.68, 2 Dy 2.76, 2 Ag 2.89
S 0.3636 0.0313 0.7223  1 Ag 2.49, 1 Np 2.72, 2 Dy 2.74-2.75
S 0.9687 0.6364 0.2777  1 Ag 2.49, 1 Np 2.72, 2 Dy 2.74-2.75
S 0.6364 0.9687 0.2777  1 Ag 2.49, 1 Np 2.72, 2 Dy 2.74-2.75

Output
**E_form (uncorrected)**: -1.282 eV/atom
**DFT total energy**: -66.72 eV/f.u.

---

Record 6
First-principles (GGA-PBE) data for a relaxed AlGaFe crystal, as listed in Alexandria via LeMat-Bulk.

Lattice parameters (Å, degrees): 3.0495 3.0495 4.6912 108.97 108.97 90.00
With the nearest neighbours (Å) after each atom.
Fractional coordinates of all 3 atoms:
Fe 0.6649 0.6649 0.3298  4 Al 2.51, 4 Ga 2.53
Ga 0.3241 0.3241 0.6482  4 Fe 2.53, 5 Al 2.61-2.66
Al 0.0110 0.0110 0.0220  4 Fe 2.51, 5 Ga 2.61-2.66

Output
**Formation enthalpy at 0 K**: -0.217 eV/atom
**DFT total energy**: -15.88 eV/f.u.

---

Record 7
First-principles (GGA-PBE) data for a relaxed RbSnSeO5 crystal, as listed in Alexandria via LeMat-Bulk.

Lattice parameters (Å, degrees): 6.4279 6.4279 7.7933 104.55 104.55 106.22
With the nearest neighbours (Å) after each atom.
Fractional coordinates of all 16 atoms:
Rb 0.3335 0.6665 0.2500  7 O 2.85-2.99
Rb 0.6665 0.3335 0.7500  7 O 2.85-2.99
Sn 0.0000 0.0000 0.5000  2 O 2.03
Sn 0.0000 0.0000 0.0000  2 O 2.03
Se 0.6879 0.3121 0.2500  4 O 1.69-1.70
Se 0.3121 0.6879 0.7500  4 O 1.69-1.70
O 0.0559 0.9441 0.2500  2 Sn 2.03
O 0.9441 0.0559 0.7500  2 Sn 2.03
O 0.8728 0.3071 0.1282  1 Se 1.70
O 0.1272 0.6929 0.8718  1 Se 1.70
O 0.6929 0.1272 0.3718  1 Se 1.70
O 0.3071 0.8728 0.6282  1 Se 1.70
O 0.7630 0.5793 0.4064  1 Se 1.69
O 0.2370 0.4207 0.5936  1 Se 1.69
O 0.4207 0.2370 0.0936  1 Se 1.69
O 0.5793 0.7630 0.9064  1 Se 1.69

Output
**E_form (uncorrected)**: -1.128 eV/atom
**DFT total energy**: -42.27 eV/f.u.

---

Record 8
First-principles (GGA-PBE) data for a relaxed HfMgRe2 crystal, as listed in Alexandria via LeMat-Bulk.

Lattice parameters (Å, degrees): 7.3491 7.3491 5.8588 51.16 51.16 90.00
With the nearest neighbours (Å) after each atom.
Fractional coordinates of all 8 atoms:
Re 0.6204 0.1250 0.2500  2 Mg 2.66, 2 Re 2.71, 2 Hf 2.71
Re 0.1296 0.6250 0.2500  2 Mg 2.66, 2 Re 2.71, 2 Hf 2.71
Re 0.3750 0.3796 0.7500  2 Mg 2.66, 2 Re 2.71, 2 Hf 2.71
Re 0.8750 0.8704 0.7500  2 Mg 2.66, 2 Re 2.71, 2 Hf 2.71
Mg 0.5000 0.5000 0.0000  4 Re 2.66, 2 Hf 2.71
Mg 0.2500 0.7500 0.5000  4 Re 2.66, 2 Hf 2.71
Hf 0.0000 0.0000 0.0000  2 Mg 2.71, 4 Re 2.71
Hf 0.7500 0.2500 0.5000  2 Mg 2.71, 4 Re 2.71

Output
**Formation enthalpy at 0 K**: 0.909 eV/atom
**DFT total energy**: -32.81 eV/f.u.

---

Record 9
First-principles (GGA-PBE) data for a relaxed Sc6Ni2Sb crystal, as listed in Alexandria via LeMat-Bulk.

Lattice parameters (Å, degrees): 7.8662 7.8662 7.8662 105.45 110.63 112.42
With the nearest neighbours (Å) after each atom.
Fractional coordinates of all 18 atoms:
Sc 0.5212 0.7056 0.8156  3 Ni 2.73-2.98
Sc 0.4788 0.2944 0.1844  3 Ni 2.73-2.98
Sc 0.1100 0.2944 0.8156  3 Ni 2.73-2.98
Sc 0.8900 0.7056 0.1844  3 Ni 2.73-2.98
Sc 0.7892 0.7674 0.5566  1 Ni 2.55
Sc 0.2108 0.2326 0.4434  1 Ni 2.55
Sc 0.2108 0.7674 0.9781  1 Ni 2.55
Sc 0.7892 0.2326 0.0219  1 Ni 2.55
Sc 0.6943 0.3695 0.6752  3 Ni 2.53-2.73
Sc 0.3057 0.6305 0.3248  3 Ni 2.53-2.73
Sc 0.3057 0.9809 0.6752  3 Ni 2.53-2.73
Sc 0.6943 0.0191 0.3248  3 Ni 2.53-2.73
Ni 0.5000 0.3716 0.8716  1 Ni 2.45, 6 Sc 2.53-2.73
Ni 0.5000 0.6284 0.1284  1 Ni 2.45, 6 Sc 2.53-2.73
Ni 0.6493 0.0000 0.6493  6 Sc 2.55-2.73, 1 Ni 2.67
Ni 0.3507 0.0000 0.3507  6 Sc 2.55-2.73, 1 Ni 2.67
Sb 0.0000 0.5000 0.5000  12 Sc 3.15-3.35
Sb 0.0000 0.0000 0.0000  8 Sc 2.91-3.06, 2 Ni 3.14

Output
**E_form (uncorrected)**: -0.468 eV/atom
**DFT total energy**: -57.88 eV/f.u.

---

Record 10
First-principles (GGA-PBE) data for a relaxed Pm3Si6Pd2Rh crystal, as listed in Alexandria via LeMat-Bulk.

Lattice parameters (Å, degrees): 5.8048 5.8048 7.9540 90.00 90.00 120.00
With the nearest neighbours (Å) after each atom.
Fractional coordinates of all 12 atoms:
Pm 0.3333 0.6667 0.6304  9 Si 2.97-3.01, 1 Pd 3.26
Pm 0.6667 0.3333 0.3696  9 Si 2.97-3.01, 1 Pd 3.26
Pm 0.0000 0.0000 0.0000  6 Si 3.05, 6 Pd 3.37
Si 0.6161 0.8080 0.2966  2 Si 2.46, 1 Pd 2.49, 1 Rh 2.52
Si 0.1920 0.3839 0.2966  2 Si 2.46, 1 Pd 2.49, 1 Rh 2.52
Si 0.1920 0.8080 0.2966  2 Si 2.46, 1 Pd 2.49, 1 Rh 2.52
Si 0.8080 0.6161 0.7034  2 Si 2.46, 1 Pd 2.49, 1 Rh 2.52
Si 0.3839 0.1920 0.7034  2 Si 2.46, 1 Pd 2.49, 1 Rh 2.52
Si 0.8080 0.1920 0.7034  2 Si 2.46, 1 Pd 2.49, 1 Rh 2.52
Pd 0.6667 0.3333 0.9600  3 Si 2.49
Pd 0.3333 0.6667 0.0400  3 Si 2.49
Rh 0.0000 0.0000 0.5000  6 Si 2.52

Output
**E_form (uncorrected)**: -0.530 eV/atom
**DFT total energy**: -70.89 eV/f.u.

---

Record 11
First-principles (GGA-PBE) data for a relaxed GeIrN2O crystal, as listed in Alexandria via LeMat-Bulk.

Lattice parameters (Å, degrees): 3.8037 3.8037 3.6500 90.00 90.00 90.00
With the nearest neighbours (Å) after each atom.
Fractional coordinates of all 5 atoms:
Ge 0.0000 0.0000 0.0000  2 O 1.82, 4 N 1.90
Ir 0.5000 0.5000 0.5000  8 N 2.64, 4 O 2.69
O 0.0000 0.0000 0.5000  2 Ge 1.82
N 0.0000 0.5000 0.0000  2 Ge 1.90
N 0.5000 0.0000 0.0000  2 Ge 1.90

Output
**E_form (uncorrected)**: 1.200 eV/atom
**DFT total energy**: -29.09 eV/f.u.

---

Record 12
First-principles (GGA-PBE) data for a relaxed HfNbRu crystal, as listed in Alexandria via LeMat-Bulk.

Lattice parameters (Å, degrees): 3.2155 3.2155 5.5994 106.69 106.69 90.00
With the nearest neighbours (Å) after each atom.
Fractional coordinates of all 3 atoms:
Ru 0.6693 0.6693 0.3386  4 Nb 2.77, 4 Hf 2.81
Nb 0.3231 0.3231 0.6462  4 Ru 2.77, 4 Hf 2.96
Hf 0.0076 0.0076 0.0152  4 Ru 2.81, 4 Nb 2.96

Output
**Formation enthalpy at 0 K**: -0.406 eV/atom
**DFT total energy**: -30.52 eV/f.u.